[1]
Density functional theory data (GGA-PBE) for a relaxed structure of CaTb2Hf.

Lattice parameters (Å, degrees): 3.4868 3.4868 10.1798 90.00 90.00 90.00
Sites, in units of the cell vectors:
1 Tb 0.0000 0.0000 0.2142
2 Tb 0.0000 0.0000 0.7858
3 Hf 0.5000 0.5000 0.0000
4 Ca 0.5000 0.5000 0.5000

## Properties
The value obtained for the energy is -5.1710 eV/atom. Its excess energy over the best structure of this formula in the dataset is 0.000 eV per atom. Its space group is P4/mmm (123). For the mass density, the calculation gives 7.20 Mg/m³.



[2]
Density functional theory data (GGA-PBE) for a relaxed structure of Ho2Ni2Bi.

Lattice parameters (Å, degrees): 4.7905 4.7905 5.8651 65.90 65.90 60.00
Sites, in units of the cell vectors:
1 Bi 0.5000 0.5000 0.5000
2 Ho 0.2685 0.2685 0.1945
3 Ho 0.7315 0.7315 0.8055
4 Ni 0.0782 0.0782 0.7654
5 Ni 0.9218 0.9218 0.2346

## Properties
The value obtained for the energy is -5.2885 eV/atom. Its space group is R-3m (166). For the mass density, the calculation gives 10.60 Mg/m³.



no.,formation energy from the elements (meV/atom)
1,133
2,-369